# TiHgIrO6 GGA-PBE relaxed
# - density (g cm⁻³) = 7.7
# - E_tot (eV per atom) = -6.462
# - uncorrected formation energy (eV/atom) = -1.262
data_TiHgIrO6
_chemical_formula_sum 'Ti1 Hg1 Ir1 O6'
_cell_length_a 5.2158
_cell_length_b 5.2158
_cell_length_c 4.8851
_cell_angle_alpha 90.00
_cell_angle_beta 90.00
_cell_angle_gamma 120.00
_symmetry_space_group_name_H-M 'P 3 1 2'
_symmetry_Int_Tables_number 149
loop_
_symmetry_equiv_pos_as_xyz
'x,y,z'
'-y,x-y,z'
'-x+y,-x,z'
'-y,-x,-z'
'-x+y,y,-z'
'x,x-y,-z'
loop_
_atom_site_label
_atom_site_type_symbol
_atom_site_fract_x
_atom_site_fract_y
_atom_site_fract_z
Ti1 Ti 0.0000 0.0000 0.0000
Hg1 Hg 0.6667 0.3333 0.5000
Ir1 Ir 0.3333 0.6667 0.0000
O1 O 0.0425 0.3368 0.2195



# Tl2HgIrO8 GGA-PBE relaxed
# - density (g cm⁻³) = 9.1
# - E_tot (eV per atom) = -4.868
# - uncorrected formation energy (eV/atom) = -0.405
data_Tl2HgIrO8
_chemical_formula_sum 'Tl2 Hg1 Ir1 O8'
_cell_length_a 4.812
_cell_length_b 7.037
_cell_length_c 5.021
_cell_angle_alpha 90.00
_cell_angle_beta 93.56
_cell_angle_gamma 90.00
_symmetry_space_group_name_H-M 'P 1 2/m 1'
_symmetry_Int_Tables_number 10
loop_
_symmetry_equiv_pos_as_xyz
'x,y,z'
'-x,-y,-z'
'-x,y,-z'
'x,-y,z'
loop_
_atom_site_label
_atom_site_type_symbol
_atom_site_fract_x
_atom_site_fract_y
_atom_site_fract_z
Tl1 Tl 0.000 0.248 0.000
Hg1 Hg 0.500 0.500 0.500
Ir1 Ir 0.500 0.000 0.500
O1 O 0.232 0.500 0.164
O2 O 0.261 0.000 0.175
O3 O 0.282 0.196 0.639